Entry from the Open Quantum Materials Database: crystalline YTmPa at its relaxed geometry (PBE-GGA).

The total energy comes out at -5.734 eV/atom. The value obtained for the energy above the lowest structure with this stoichiometry is 0.0 meV per atom. Its formation energy is 1.0782 eV/atom.

It has space group F-43m (No. 216), with a = 7.443 Å, b = 7.443 Å, c = 7.443 Å, α = 90.00°, β = 90.00° and γ = 90.00°. The asymmetric unit holds Y at (0.000, 0.000, 0.000), Tm at (0.250, 0.250, 0.750) and Pa at (0.000, 0.000, 0.500).